# 1
ZnMoP: relaxed, GGA-PBE.

a = 4.0250 Å, b = 4.0250 Å, c = 3.3470 Å
α = 90.00°, β = 90.00°, γ = 120.00°
With the nearest neighbours (Å) after each atom.
Space group P-6m2 (No. 187)
Unique sites:
Zn  0.0000  0.0000  0.0000 x1  6 P 2.86, 6 Mo 2.86
Mo  0.6667  0.3333  0.5000 x1  3 P 2.32
P  0.3333  0.6667  0.5000 x1  3 Mo 2.32



# 2
Zn4MoP: relaxed, GGA-PBE.

a = 7.0673 Å, b = 7.0673 Å, c = 7.0673 Å
α = 90.00°, β = 90.00°, γ = 90.00°
With the nearest neighbours (Å) after each atom.
Space group F-43m (No. 216)
Unique sites:
Zn  0.1240  0.1240  0.3760 x16  6 Zn 2.48-2.52
Mo  0.2500  0.2500  0.7500 x4  12 Zn 2.93, 4 P 3.06
P  0.0000  0.0000  0.0000 x4  12 Zn 2.93, 4 Mo 3.06



# 3
ZnMoP3: relaxed, GGA-PBE.

Values from the calculation:
Energy above the most stable polymorph in this dataset: 0.00 eV/f.u.

a = 4.7058 Å, b = 4.7058 Å, c = 4.7058 Å
α = 90.00°, β = 90.00°, γ = 90.00°
With the nearest neighbours (Å) after each atom.
Space group Pm-3m (No. 221)
Unique sites:
Zn  0.0000  0.0000  0.0000 x1  12 P 3.33
Mo  0.5000  0.5000  0.5000 x1  6 P 2.35
P  0.0000  0.5000  0.5000 x3  2 Mo 2.35



# 4
ZnMoP: relaxed, GGA-PBE.

a = 5.8773 Å, b = 5.8773 Å, c = 5.8773 Å
α = 90.00°, β = 90.00°, γ = 90.00°
With the nearest neighbours (Å) after each atom.
Space group F-43m (No. 216)
Unique sites:
Zn  0.0000  0.0000  0.0000 x4  4 Mo 2.54
Mo  0.2500  0.2500  0.2500 x4  4 Zn 2.54, 4 P 2.54
P  0.0000  0.0000  0.5000 x4  4 Mo 2.54



# 5
Zn2MoP: relaxed, GGA-PBE.

a = 2.8815 Å, b = 2.8815 Å, c = 25.6143 Å
α = 90.00°, β = 90.00°, γ = 120.00°
With the nearest neighbours (Å) after each atom.
Space group R-3m (No. 166, hexagonal axes)
Unique sites:
Zn  0.0000  0.0000  0.2482 x6  3 P 2.67, 3 Mo 2.74, 6 Zn 2.88
Mo  0.0000  0.0000  0.0000 x3  6 Zn 2.74, 6 Mo 2.88
P  0.0000  0.0000  0.5000 x3  6 Zn 2.67, 6 P 2.88



# 6
Zn2MoP: relaxed, GGA-PBE.

a = 9.0363 Å, b = 2.6921 Å, c = 4.8952 Å
α = 90.00°, β = 94.03°, γ = 90.00°
With the nearest neighbours (Å) after each atom.
Space group Cm (No. 8)
Unique sites:
Zn  0.0000  0.0000  0.0000 x2  5 Zn 2.57-2.71, 2 P 2.68, 2 Mo 2.80
Zn  0.2448  0.5000  0.2001 x2  5 Zn 2.57-2.71, 1 P 2.62, 4 Mo 2.80-2.81
Mo  0.2687  0.0000  0.7041 x2  3 P 2.56-2.62, 2 Mo 2.69, 6 Zn 2.80-2.81
P  0.0306  0.5000  0.5340 x2  3 Mo 2.56-2.62, 3 Zn 2.62-2.68, 2 P 2.69



# 7
Zn2MoP: relaxed, GGA-PBE.

a = 4.8655 Å, b = 8.9745 Å, c = 2.8479 Å
α = 90.00°, β = 106.69°, γ = 90.00°
With the nearest neighbours (Å) after each atom.
Space group C2/m (No. 12)
Unique sites:
Zn  0.2500  0.2500  0.0000 x4  2 Zn 2.43
Mo  0.0000  0.0000  0.5000 x2  2 P 2.43
P  0.0000  0.5000  0.5000 x2  2 Mo 2.43



# 8
ZnMoP: relaxed, GGA-PBE.

a = 3.2895 Å, b = 4.5819 Å, c = 12.8243 Å
α = 90.00°, β = 90.00°, γ = 90.00°
With the nearest neighbours (Å) after each atom.
Space group Fmm2 (No. 42)
Unique sites:
Zn  0.0000  0.0000  0.0000 x4  2 Mo 2.70, 4 Zn 2.82, 2 P 3.01
Mo  0.0000  0.0000  0.6674 x4  2 P 2.40
P  0.0000  0.0000  0.3032 x4  2 Mo 2.40



| no. | E_form (eV per atom) | total magnetization (μB/f.u.) | D(E_F) (states/eV/f.u.) |
| --- | --- | --- | --- |
| 1 | 0.015 | 0.00 | 1.2 |
| 2 | 0.360 | 0.01 | 6.2 |
| 3 | 0.534 | 0.00 | 5.3 |
| 4 | 0.370 | 0.80 | 2.6 |
| 5 | 0.307 | 0.00 | 2.8 |
| 6 | 0.097 | 0.00 | 1.7 |
| 7 | 0.151 | 0.00 | 1.5 |
| 8 | 0.194 | 0.00 | 1.8 |